Record 1
Below is a relaxed Pm2In3Pd7 crystal, with properties calculated at the PBE level.

Lattice parameters (Å, degrees): 4.9552 4.6552 11.2808 90.00 102.68 90.00
Sites, in units of the cell vectors:
Pm 0.1534 0.0000 0.3061
Pm 0.8466 0.0000 0.6939
In 0.0000 0.0000 0.0000
In 0.3621 0.5000 0.7250
In 0.6379 0.5000 0.2750
Pd 0.0701 0.5000 0.1389
Pd 0.2873 0.0000 0.5747
Pd 0.4311 0.0000 0.8633
Pd 0.5000 0.5000 0.0000
Pd 0.5689 0.0000 0.1367
Pd 0.7127 0.0000 0.4253
Pd 0.9299 0.5000 0.8611

Summary:
E_form in kJ per mole of atoms: -49.0
Space group: P2/m (10)
DOS at the Fermi energy in states/eV/f.u.: 6.39

***

Record 2
Below is a relaxed Dy6SnAs3S2 crystal, with properties calculated at the PBE level.

Lattice parameters (Å, degrees): 9.1679 9.1679 8.2719 102.76 102.76 25.68
Sites, in units of the cell vectors:
Dy 0.0023 0.0023 0.2641
Dy 0.3282 0.3282 0.9139
Dy 0.3328 0.3328 0.4151
Dy 0.6672 0.6672 0.5849
Dy 0.6718 0.6718 0.0861
Dy 0.9977 0.9977 0.7359
Sn 0.5000 0.5000 0.0000
As 0.1659 0.1659 0.8307
As 0.5000 0.5000 0.5000
As 0.8341 0.8341 0.1693
S 0.1702 0.1702 0.3398
S 0.8298 0.8298 0.6602

Summary:
Space group: C2/m (12)
DOS at the Fermi energy in states/eV/f.u.: 2.63
ΔE_f (raw) in eV/f.u.: -18.46

***

Record 3
Below is a relaxed CdAgIr2 crystal, with properties calculated at the PBE level.

Lattice parameters (Å, degrees): 5.0272 5.0272 4.8735 99.69 99.69 32.60
Sites, in units of the cell vectors:
Cd 0.0000 0.0000 0.0000
Ag 0.5000 0.5000 0.5000
Ir 0.2506 0.2506 0.7412
Ir 0.7494 0.7494 0.2588

Summary:
E_form in kJ per mole of atoms: 24.9
Space group: C2/m (12)
DOS at the Fermi energy in states/eV/f.u.: 3.72

***

Record 4
Below is a relaxed Ag2Ge2Pd crystal, with properties calculated at the PBE level.

Lattice parameters (Å, degrees): 7.0308 7.0308 7.0308 148.58 148.58 45.03
Sites, in units of the cell vectors:
Ag 0.2500 0.7500 0.5000
Ag 0.7500 0.2500 0.5000
Ge 0.0931 0.0931 0.0000
Ge 0.9069 0.9069 0.0000
Pd 0.5000 0.5000 0.0000

Summary:
ΔE to the lowest computed polymorph in kJ/mol of formula units: 117.9
E_form in kJ per mole of atoms: 22.4
Space group: I4/mmm (139)
DOS at the Fermi energy in states/eV/f.u.: 2.19

***

Record 5
Below is a relaxed NaAgC3 crystal, with properties calculated at the PBE level.

Lattice parameters (Å, degrees): 4.2607 4.2607 4.2607 90.00 90.00 90.00
Sites, in units of the cell vectors:
Na 0.0000 0.0000 0.0000
Ag 0.5000 0.5000 0.5000
C 0.0000 0.0000 0.5000
C 0.0000 0.5000 0.0000
C 0.5000 0.0000 0.0000

Summary:
ΔE to the lowest computed polymorph in kJ/mol of formula units: 364.8
E_form in kJ per mole of atoms: 359.2
Space group: Pm-3m (221)
DOS at the Fermi energy in states/eV/f.u.: 3.48

***

Record 6
Below is a relaxed BaAc4Si4 crystal, with properties calculated at the PBE level.

Lattice parameters (Å, degrees): 10.2610 10.2610 6.2612 90.00 90.00 90.00
Sites, in units of the cell vectors:
Ba 0.2500 0.2500 0.2500
Ba 0.7500 0.7500 0.7500
Ac 0.1106 0.6321 0.1241
Ac 0.1321 0.8894 0.6241
Ac 0.3679 0.6106 0.6241
Ac 0.3894 0.8679 0.1241
Ac 0.6106 0.1321 0.8759
Ac 0.6321 0.3894 0.3759
Ac 0.8679 0.1106 0.3759
Ac 0.8894 0.3679 0.8759
Si 0.0551 0.5732 0.6263
Si 0.0732 0.9449 0.1263
Si 0.4268 0.5551 0.1263
Si 0.4449 0.9268 0.6263
Si 0.5551 0.0732 0.3737
Si 0.5732 0.4449 0.8737
Si 0.9268 0.0551 0.8737
Si 0.9449 0.4268 0.3737

Summary:
Space group: P4_2/n (86)
DOS at the Fermi energy in states/eV/f.u.: 6.13
ΔE_f (raw) in eV/f.u.: -2.88

***

Record 7
Below is a relaxed HfCuGe2Br crystal, with properties calculated at the PBE level.

Lattice parameters (Å, degrees): 4.5624 4.5624 5.1925 90.00 90.00 90.00
Sites, in units of the cell vectors:
Hf 0.0000 0.0000 0.0000
Cu 0.5000 0.5000 0.5000
Ge 0.0000 0.5000 0.5000
Ge 0.5000 0.0000 0.5000
Br 0.5000 0.5000 0.0000

Summary:
Space group: P4/mmm (123)
DOS at the Fermi energy in states/eV/f.u.: 2.33
ΔE_f (raw) in eV/f.u.: 3.06

***

Record 8
Below is a relaxed PmDy2In3Se6 crystal, with properties calculated at the PBE level.

Lattice parameters (Å, degrees): 7.2497 7.2497 8.1063 98.57 98.57 119.99
Sites, in units of the cell vectors:
Pm 0.0000 0.0000 0.0000
Dy 0.3333 0.6667 0.0000
Dy 0.6667 0.3333 0.0000
In 0.1655 0.8345 0.5000
In 0.5000 0.5000 0.5000
In 0.8345 0.1655 0.5000
Se 0.0702 0.4103 0.2108
Se 0.2704 0.2704 0.7910
Se 0.4103 0.0702 0.2108
Se 0.5897 0.9298 0.7892
Se 0.7296 0.7296 0.2090
Se 0.9298 0.5897 0.7892

Summary:
Space group: C2/m (12)
ΔE_f (raw) in eV/f.u.: -15.59